(1)
Computed, not measured: KSrZr after structural relaxation at the PBE level of DFT.

Computed properties:
Offset from the most stable computed form in kJ/mol of atoms: 0.0
Total energy in eV for the cell shown: -9.3
Calculated volume in Å³/cell: 115.9
Space-group type: P3m1, No. 156
DFT formation energy in eV/f.u.: 2.024

a b c (Å): 3.6259 3.6259 10.1827
angles (deg): 90.00 90.00 120.00
Fractional positions:
K  0.0000  0.0000  0.9778
Zr  0.3333  0.6667  0.6502
Sr  0.6667  0.3333  0.3720

(2)
Computed, not measured: Li6TlSi after structural relaxation at the PBE level of DFT.

Computed properties:
Offset from the most stable computed form in kJ/mol of atoms: 0.0
Total energy in eV for the cell shown: -20.5
Calculated volume in Å³/cell: 135.8
Space-group type: Amm2, No. 38

a b c (Å): 4.6129 5.8299 5.8299
angles (deg): 119.96 90.00 90.00
Fractional positions:
Si  0.0000  0.0837  0.9163
Li  0.5000  0.9308  0.0692
Li  0.5000  0.3875  0.0692
Li  0.0000  0.5830  0.4170
Li  0.0000  0.5829  0.9154
Li  0.5000  0.9308  0.6125
Li  0.0000  0.0846  0.4171
Tl  0.5000  0.4164  0.5836

(3)
Computed, not measured: Er6TlAg after structural relaxation at the PBE level of DFT.

Computed properties:
Total energy in eV for the cell shown: -33.8
Calculated volume in Å³/cell: 224.5
Space-group type: Fmmm, No. 69
DFT formation energy in eV/f.u.: -1.181

a b c (Å): 5.0195 5.0194 9.5867
angles (deg): 74.89 74.88 90.10
Fractional positions:
Er  0.1125  0.6125  0.7748
Er  0.8875  0.3875  0.2252
Er  0.3874  0.8875  0.2252
Er  0.6126  0.1125  0.7748
Er  0.7497  0.7497  0.5004
Er  0.2503  0.2503  0.4996
Tl  0.5000  0.5000  0.0000
Ag  0.0000  0.0000  0.0000

(4)
Computed, not measured: NaIn2PbBr5 after structural relaxation at the PBE level of DFT.

Computed properties:
Total energy in eV for the cell shown: -54.5
Calculated volume in Å³/cell: 639.1
Space-group type: Cmc2_1, No. 36

a b c (Å): 4.4857 9.7767 14.9727
angles (deg): 90.00 90.00 103.26
Fractional positions:
Br  0.6970  0.3941  0.8970
Br  0.7312  0.4623  0.1738
Br  0.9332  0.8665  0.5615
Br  0.4953  0.9906  0.7690
Br  0.2688  0.5377  0.6738
Br  0.3833  0.7666  0.9923
Br  0.0668  0.1335  0.0615
Br  0.6167  0.2334  0.4923
Br  0.5047  0.0094  0.2690
Br  0.3030  0.6059  0.3970
In  0.0848  0.1695  0.6566
In  0.8728  0.7456  0.7956
In  0.1272  0.2544  0.2956
In  0.9152  0.8305  0.1566
Na  0.4578  0.9155  0.4481
Na  0.5422  0.0845  0.9481
Pb  0.7756  0.5512  0.5301
Pb  0.2244  0.4488  0.0301

(5)
Computed, not measured: BeAgSn3 after structural relaxation at the PBE level of DFT.

Computed properties:
Offset from the most stable computed form in kJ/mol of atoms: 51.0
Total energy in eV for the cell shown: -13.9
Calculated volume in Å³/cell: 152.3
Space-group type: Pm-3m, No. 221
DFT formation energy in eV/f.u.: 4.637

a b c (Å): 5.3400 5.3400 5.3400
angles (deg): 90.00 90.00 90.00
Fractional positions:
Sn  0.0000  0.5000  0.0000
Sn  0.0000  0.0000  0.5000
Sn  0.5000  0.0000  0.0000
Ag  0.0000  0.0000  0.0000
Be  0.5000  0.5000  0.5000

(6)
Computed, not measured: SmCo4Ru after structural relaxation at the PBE level of DFT.

Computed properties:
Total energy in eV for the cell shown: -42.0
Calculated volume in Å³/cell: 85.2
Space-group type: F-43m, No. 216
DFT formation energy in eV/f.u.: 0.451

a b c (Å): 4.9397 4.9397 4.9397
angles (deg): 60.00 60.00 60.00
Fractional positions:
Sm  0.0000  0.0000  0.0000
Ru  0.2500  0.2500  0.2500
Co  0.6247  0.1259  0.6247
Co  0.6247  0.6247  0.6247
Co  0.6247  0.6247  0.1259
Co  0.1259  0.6247  0.6247

(7)
Computed, not measured: CaCoSb4 after structural relaxation at the PBE level of DFT.

Computed properties:
Total energy in eV for the cell shown: -23.5
Calculated volume in Å³/cell: 169.4
Space-group type: F-43m, No. 216

a b c (Å): 6.2111 6.2111 6.2111
angles (deg): 60.00 60.00 60.00
Fractional positions:
Co  0.0000  0.0000  0.0000
Sb  0.3742  0.8775  0.3742
Sb  0.3742  0.3742  0.8775
Sb  0.3742  0.3742  0.3742
Sb  0.8775  0.3742  0.3742
Ca  0.7500  0.7500  0.7500

(8)
Computed, not measured: Li3Bi3Pd5 after structural relaxation at the PBE level of DFT.

Computed properties:
Total energy in eV for the cell shown: -47.5
Calculated volume in Å³/cell: 200.3
Space-group type: P1, No. 1
DFT formation energy in eV/f.u.: -4.103

a b c (Å): 3.8586 7.8807 9.0487
angles (deg): 131.19 102.32 75.91
Fractional positions:
Pd  0.3632  0.8320  0.8307
Pd  0.6301  0.6236  0.1564
Pd  0.5414  0.3677  0.7263
Pd  0.4580  0.0770  0.2642
Pd  0.8250  0.1904  0.1121
Bi  0.9027  0.4829  0.5626
Bi  0.1891  0.2777  0.9288
Bi  0.0945  0.9593  0.4193
Li  0.7342  0.9212  0.6621
Li  0.2745  0.5180  0.3399
Li  0.9873  0.7503  0.9976